w | The following is a DFT calculation (PBE) of RbCaSn4 after structural relaxation.

Its theoretical density is 4.6 g/cm3. The density of states at the Fermi level is 2.28 states/eV/f.u.

It has space group C2/m (No. 12), with a = 7.780 Å, b = 4.495 Å, c = 12.676 Å, α = 90.00°, β = 101.71° and γ = 90.00°. The inequivalent atoms are Rb at (0.000, 0.000, 0.000), Ca at (0.000, 0.500, 0.500), Sn at (0.091, 0.500, 0.776) and Sn at (0.112, 0.000, 0.335).

x | The following is a DFT calculation (PBE) of RbCaSn4 after structural relaxation.

Its theoretical density is 5.3 g/cm3. The density of states at the Fermi level is 10.08 states/eV/f.u.

It has space group F-43m (No. 216), with a = 9.098 Å, b = 9.098 Å, c = 9.098 Å, α = 90.00°, β = 90.00° and γ = 90.00°. The inequivalent atoms are Rb at (0.000, 0.000, 0.000), Ca at (0.250, 0.250, 0.750) and Sn at (0.124, 0.124, 0.376).

Verdict on stability: w comes out on top.

w | The following is a DFT calculation (PBE) of RbCa2Sn2 after structural relaxation.

Its theoretical density is 3.9 g/cm3. The density of states at the Fermi level is 2.05 states/eV/f.u.

It has space group P4/mbm (No. 127), with a = 9.658 Å, b = 9.658 Å, c = 3.711 Å, α = 90.00°, β = 90.00° and γ = 90.00°. The inequivalent atoms are Rb at (0.000, 0.000, 0.000), Ca at (0.156, 0.344, 0.500) and Sn at (0.131, 0.631, 0.000).

x | The following is a DFT calculation (PBE) of RbCa2Sn2 after structural relaxation.

Its theoretical density is 3.2 g/cm3. The density of states at the Fermi level is 3.92 states/eV/f.u.

It has space group I4/mmm (No. 139), with a = 5.738 Å, b = 5.738 Å, c = 12.787 Å, α = 90.00°, β = 90.00° and γ = 90.00°. The inequivalent atoms are Rb at (0.000, 0.000, 0.000), Ca at (0.000, 0.000, 0.345) and Sn at (0.000, 0.500, 0.250).

Verdict on stability: w comes out on top.

w | The following is a DFT calculation (PBE) of Rb2Ca2Sn after structural relaxation.

Its theoretical density is 2.6 g/cm3. The density of states at the Fermi level is 5.15 states/eV/f.u.

It has space group I4/mmm (No. 139), with a = 4.712 Å, b = 4.712 Å, c = 21.149 Å, α = 90.00°, β = 90.00° and γ = 90.00°. The inequivalent atoms are Rb at (0.000, 0.500, 0.250), Ca at (0.000, 0.000, 0.077) and Sn at (0.000, 0.000, 0.500).

x | The following is a DFT calculation (PBE) of Rb2Ca2Sn after structural relaxation.

Its theoretical density is 2.4 g/cm3. The density of states at the Fermi level is 0.23 states/eV/f.u.

It has space group P4/mbm (No. 127), with a = 8.426 Å, b = 8.426 Å, c = 7.109 Å, α = 90.00°, β = 90.00° and γ = 90.00°. The inequivalent atoms are Rb at (0.184, 0.316, 0.000), Ca at (0.165, 0.665, 0.500) and Sn at (0.000, 0.000, 0.500).

Verdict on stability: x comes out on top.